Here is a relaxed Pm3RhO crystal from the Alexandria database. Energies are from PBE.

The symmetry is Pm-3m. The value obtained for the offset from the most stable computed form is 97 kJ/mol of formula units.

Cell: 4.8210 4.8210 4.8210 Å, 90.00 90.00 90.00°
With the nearest neighbours (Å) after each atom.
Positions (direct):
O: 0.0000 0.0000 0.0000  6 Pm 2.41
Pm: 0.5000 0.0000 0.0000  2 O 2.41
Rh: 0.5000 0.5000 0.5000  12 Pm 3.41
Pm: 0.0000 0.5000 0.0000  2 O 2.41
Pm: 0.0000 0.0000 0.5000  2 O 2.41

Here is a relaxed PmRuRhO6 crystal from the Alexandria database. Energies are from PBE.

The symmetry is P-31c. The raw total energy comes out at -126.7 eV/cell.

Cell: 5.3330 5.3330 8.8817 Å, 90.00 90.00 120.00°
With the nearest neighbours (Å) after each atom.
Positions (direct):
O: 0.2912 0.9627 0.6181  1 Ru 1.97, 1 Rh 2.07
O: 0.6714 0.9627 0.8819  1 Ru 1.97, 1 Rh 2.07
O: 0.9627 0.2912 0.1181  1 Ru 1.97, 1 Rh 2.07
O: 0.3286 0.0373 0.1181  1 Ru 1.97, 1 Rh 2.07
O: 0.3286 0.2912 0.3819  1 Ru 1.97, 1 Rh 2.07
O: 0.7088 0.0373 0.3819  1 Ru 1.97, 1 Rh 2.07
O: 0.6714 0.7088 0.6181  1 Ru 1.97, 1 Rh 2.07
Ru: 0.0000 0.0000 0.0000  6 O 1.97
Rh: 0.3333 0.6667 0.7500  6 O 2.07
O: 0.2912 0.3286 0.8819  1 Ru 1.97, 1 Rh 2.07
O: 0.0373 0.7088 0.8819  1 Ru 1.97, 1 Rh 2.07
Rh: 0.6667 0.3333 0.2500  6 O 2.07
Pm: 0.3333 0.6667 0.2500  6 O 2.31
O: 0.9627 0.6714 0.3819  1 Ru 1.97, 1 Rh 2.07
Pm: 0.6667 0.3333 0.7500  6 O 2.31
O: 0.7088 0.6714 0.1181  1 Ru 1.97, 1 Rh 2.07
O: 0.0373 0.3286 0.6181  1 Ru 1.97, 1 Rh 2.07
Ru: 0.0000 0.0000 0.5000  6 O 1.97

Here is a relaxed Pm2RuRhO8 crystal from the Alexandria database. Energies are from PBE.

The symmetry is P-1. The raw total energy comes out at -87.0 eV/cell.

Cell: 5.8544 4.3272 6.3109 Å, 92.17 85.22 102.17°
With the nearest neighbours (Å) after each atom.
Positions (direct):
Rh: 0.0000 0.0000 0.5000  6 O 2.01-2.06
Ru: 0.0000 0.0000 0.0000  6 O 1.92-1.98
O: 0.3428 0.2225 0.4366  1 Rh 2.05, 1 Pm 2.29
Pm: 0.4496 0.7199 0.2679  5 O 2.28-2.46
O: 0.6572 0.7775 0.5634  1 Rh 2.05, 1 Pm 2.29
Pm: 0.5504 0.2801 0.7321  5 O 2.28-2.46
O: 0.2997 0.2738 0.0286  1 Ru 1.92
O: 0.9372 0.2530 0.7642  1 Ru 1.98, 1 Rh 2.01
O: 0.0628 0.7470 0.2358  1 Ru 1.98, 1 Rh 2.01
O: 0.8590 0.1794 0.2560  1 Ru 1.96, 1 Rh 2.06
O: 0.7003 0.7262 0.9714  1 Ru 1.92
O: 0.1410 0.8206 0.7440  1 Ru 1.96, 1 Rh 2.06

Here is a relaxed PmRuRh2O8 crystal from the Alexandria database. Energies are from PBE.

The symmetry is Cmmm. The raw total energy comes out at -83.3 eV/cell.

Cell: 4.7416 4.7407 6.5036 Å, 90.01 90.01 88.72°
With the nearest neighbours (Å) after each atom.
Positions (direct):
O: 0.7964 0.2037 0.2160  1 Ru 1.95, 1 Rh 1.97
O: 0.3290 0.3291 0.4999  2 Rh 2.04, 1 Pm 2.23
O: 0.6993 0.6993 0.0000  1 Ru 2.04, 2 Rh 2.07
Rh: 0.5000 0.5000 0.7582  6 O 1.97-2.07
Pm: 0.0000 0.0000 0.5000  6 O 2.23-2.29
O: 0.2037 0.7964 0.2160  1 Ru 1.95, 1 Rh 1.97
O: 0.6710 0.6709 0.5001  2 Rh 2.04, 1 Pm 2.23
O: 0.2036 0.7963 0.7840  1 Ru 1.95, 1 Rh 1.97
Rh: 0.5000 0.5000 0.2418  6 O 1.97-2.07
O: 0.3007 0.3007 0.0000  1 Ru 2.04, 2 Rh 2.07
Ru: 0.0000 0.0000 0.0000  6 O 1.95-2.04
O: 0.7963 0.2036 0.7840  1 Ru 1.95, 1 Rh 1.97

Result set for calculated volume: 112.0; 218.8; 155.7; 146.2 Å³ per cell, one per record in the order listed.